Material: Cs2AuCl4
Method: DFT, PBE
State: relaxed

The structure belongs to space group P4/mmm (No. 123); the cell edges are 7.783, 7.783 and 4.677 Å and the angles 90.00°, 90.00° and 90.00°. The inequivalent atoms are Cs at (0.000, 0.500, 0.000), Au at (0.000, 0.000, 0.500) and Cl at (0.224, 0.224, 0.500).

The value obtained for the distance to the lowest polymorph of the same formula is 0 meV/atom. Its energy relative to the elements, uncorrected is -9.00 eV/f.u. Its density is 3.54 g/cm3.


Material: AlCd3Mo
Method: DFT, PBE
State: relaxed

The structure belongs to space group Pm-3m (No. 221); the cell edges are 5.109, 5.109 and 5.109 Å and the angles 90.00°, 90.00° and 90.00°. The inequivalent atoms are Al at (0.000, 0.000, 0.000), Cd at (0.000, 0.000, 0.500) and Mo at (0.500, 0.500, 0.500).

The energy of formation is 1.1410 eV per atom. Its density is 5.73 g/cm3.